Compound: Cs2KRb3H6
Source: Alexandria via LeMat-Bulk
Functional: PBE-GGA
Structure: relaxed

Values from the calculation:
ρ, g/cm3: 2.8
Crystal system: monoclinic
Magnetization, μB per atom: 0.0000
Calculated total energy, eV per formula unit: -27.9

Geometry as CIF:
```
data_Cs2KRb3H6
_cell_length_a 18.7453
_cell_length_b 4.2816
_cell_length_c 8.6118
_cell_angle_alpha 90.00
_cell_angle_beta 103.24
_cell_angle_gamma 90.00
_symmetry_space_group_name_H-M 'C 1 2/m 1'
_symmetry_Int_Tables_number 12
loop_
_symmetry_equiv_pos_as_xyz
'x,y,z'
'-x,-y,-z'
'-x,y,-z'
'x,-y,z'
'x+1/2,y+1/2,z'
'-x+1/2,-y+1/2,-z'
'-x+1/2,y+1/2,-z'
'x+1/2,-y+1/2,z'
loop_
_atom_site_label
_atom_site_fract_x
_atom_site_fract_y
_atom_site_fract_z
_atom_site_occupancy
Cs1 0.1667 0.0000 0.3300 1
K1 0.0000 0.5000 0.0000 1
Rb1 0.0000 0.5000 0.5000 1
Rb2 0.1637 0.0000 0.8366 1
H1 0.0021 0.0000 0.7624 1
H2 0.1610 0.5000 0.5929 1
H3 0.1619 0.5000 0.0700 1
```

Compound: LiAs2Pt
Source: Alexandria via LeMat-Bulk
Functional: PBE-GGA
Structure: relaxed

Values from the calculation:
ρ, g/cm3: 8.6
Crystal system: orthorhombic
Magnetization, μB per atom: 0.0000
Calculated total energy, eV per formula unit: -18.0

Geometry as CIF:
```
data_LiAs2Pt
_cell_length_a 4.3142
_cell_length_b 4.5720
_cell_length_c 6.9177
_cell_angle_alpha 90.00
_cell_angle_beta 90.00
_cell_angle_gamma 90.00
_symmetry_space_group_name_H-M 'C m m m'
_symmetry_Int_Tables_number 65
_symmetry_space_group_name_Hall '-C 2 2'
loop_
_atom_site_label
_atom_site_fract_x
_atom_site_fract_y
_atom_site_fract_z
_atom_site_occupancy
Li1 0.0000 0.0000 0.0000 1
As1 0.0000 0.5000 0.2658 1
Pt1 0.0000 0.0000 0.5000 1
```

Compound: Tm7Hg2Ru2
Source: Alexandria via LeMat-Bulk
Functional: PBE-GGA
Structure: relaxed

Values from the calculation:
ρ, g/cm3: 10.0
Crystal system: orthorhombic
Magnetization, μB per atom: 0.0000
Calculated total energy, eV per formula unit: -53.6

Geometry as CIF:
```
data_Tm7Hg2Ru2
_cell_length_a 7.8351
_cell_length_b 10.6810
_cell_length_c 7.0644
_cell_angle_alpha 90.00
_cell_angle_beta 90.00
_cell_angle_gamma 90.00
_symmetry_space_group_name_H-M 'C m m m'
_symmetry_Int_Tables_number 65
_symmetry_space_group_name_Hall '-C 2 2'
loop_
_atom_site_label
_atom_site_fract_x
_atom_site_fract_y
_atom_site_fract_z
_atom_site_occupancy
Tm1 0.0000 0.0000 0.0000 1
Tm2 0.0000 0.5000 0.2412 1
Tm3 0.2500 0.2500 0.2524 1
Hg1 0.1863 0.0000 0.5000 1
Ru1 0.0000 0.2933 0.0000 1
```

Compound: In2CuRh3
Source: Alexandria via LeMat-Bulk
Functional: PBE-GGA
Structure: relaxed

Values from the calculation:
ρ, g/cm3: 10.6
Crystal system: tetragonal
Magnetization, μB per atom: 0.0000
Calculated total energy, eV per formula unit: -33.2

Geometry as CIF:
```
data_In2CuRh3
_cell_length_a 3.1980
_cell_length_b 3.1980
_cell_length_c 9.2476
_cell_angle_alpha 90.00
_cell_angle_beta 90.00
_cell_angle_gamma 90.00
_symmetry_space_group_name_H-M 'P 4/m m m'
_symmetry_Int_Tables_number 123
_symmetry_space_group_name_Hall '-P 4 2'
loop_
_atom_site_label
_atom_site_fract_x
_atom_site_fract_y
_atom_site_fract_z
_atom_site_occupancy
In1 0.0000 0.0000 0.1805 1
Cu1 0.0000 0.0000 0.5000 1
Rh1 0.5000 0.5000 0.0000 1
Rh2 0.5000 0.5000 0.3490 1
```

Compound: KWSe3
Source: Alexandria via LeMat-Bulk
Functional: PBE-GGA
Structure: relaxed

Values from the calculation:
ρ, g/cm3: 5.3
Raw formation energy, eV per atom: 2.26
Crystal system: cubic
Magnetization, μB per atom: 0.0000
ΔE to the lowest computed polymorph, kcal/mol of atoms: 62.90

Geometry as CIF:
```
data_KWSe3
_cell_length_a 5.2477
_cell_length_b 5.2477
_cell_length_c 5.2477
_cell_angle_alpha 90.00
_cell_angle_beta 90.00
_cell_angle_gamma 90.00
_symmetry_space_group_name_H-M 'P m -3 m'
_symmetry_Int_Tables_number 221
_symmetry_space_group_name_Hall '-P 4 2 3'
loop_
_atom_site_label
_atom_site_fract_x
_atom_site_fract_y
_atom_site_fract_z
_atom_site_occupancy
K1 0.0000 0.0000 0.0000 1
W1 0.5000 0.5000 0.5000 1
Se1 0.0000 0.0000 0.5000 1
```

Compound: Tl4InOs
Source: Alexandria via LeMat-Bulk
Functional: PBE-GGA
Structure: relaxed

Values from the calculation:
ρ, g/cm3: 11.3
Crystal system: cubic
Magnetization, μB per atom: 0.3168
Calculated total energy, eV per formula unit: -17.3

Geometry as CIF:
```
data_Tl4InOs
_cell_length_a 8.7106
_cell_length_b 8.7106
_cell_length_c 8.7106
_cell_angle_alpha 90.00
_cell_angle_beta 90.00
_cell_angle_gamma 90.00
_symmetry_space_group_name_H-M 'F -4 3 m'
_symmetry_Int_Tables_number 216
_symmetry_space_group_name_Hall 'F -4 2 3'
loop_
_atom_site_label
_atom_site_fract_x
_atom_site_fract_y
_atom_site_fract_z
_atom_site_occupancy
Tl1 0.1243 0.1243 0.3757 1
In1 0.0000 0.0000 0.0000 1
Os1 0.2500 0.2500 0.7500 1
```

Compound: Nd6Bi3Ir
Source: Alexandria via LeMat-Bulk
Functional: PBE-GGA
Structure: relaxed

Values from the calculation:
ρ, g/cm3: 8.4
Crystal system: monoclinic
Magnetization, μB per atom: 0.0000
Calculated total energy, eV per formula unit: -55.7

Geometry as CIF:
```
data_Nd6Bi3Ir
_cell_length_a 6.7236
_cell_length_b 8.7457
_cell_length_c 13.0855
_cell_angle_alpha 90.00
_cell_angle_beta 120.13
_cell_angle_gamma 90.00
_symmetry_space_group_name_H-M 'P 1 21/c 1'
_symmetry_Int_Tables_number 14
loop_
_symmetry_equiv_pos_as_xyz
'x,y,z'
'-x,-y,-z'
'-x,y+1/2,-z+1/2'
'x,-y+1/2,z+1/2'
loop_
_atom_site_label
_atom_site_fract_x
_atom_site_fract_y
_atom_site_fract_z
_atom_site_occupancy
Nd1 0.0605 0.1970 0.4408 1
Nd2 0.2942 0.6586 0.4350 1
Nd3 0.3717 0.0395 0.2313 1
Bi1 0.1558 0.1177 0.7402 1
Bi2 0.5000 0.0000 0.5000 1
Ir1 0.0000 0.0000 0.0000 1
```

Compound: RbAs2CO
Source: Alexandria via LeMat-Bulk
Functional: PBE-GGA
Structure: relaxed

Values from the calculation:
ρ, g/cm3: 3.5
Raw formation energy, eV per atom: 0.89
Crystal system: tetragonal
Magnetization, μB per atom: 0.2014

Geometry as CIF:
```
data_RbAs2CO
_cell_length_a 4.1555
_cell_length_b 4.1555
_cell_length_c 7.1629
_cell_angle_alpha 90.00
_cell_angle_beta 90.00
_cell_angle_gamma 90.00
_symmetry_space_group_name_H-M 'P 4/m m m'
_symmetry_Int_Tables_number 123
_symmetry_space_group_name_Hall '-P 4 2'
loop_
_atom_site_label
_atom_site_fract_x
_atom_site_fract_y
_atom_site_fract_z
_atom_site_occupancy
Rb1 0.0000 0.0000 0.0000 1
As1 0.0000 0.5000 0.5000 1
C1 0.5000 0.5000 0.5000 1
O1 0.5000 0.5000 0.0000 1
```

Compound: Cs2K3Au
Source: Alexandria via LeMat-Bulk
Functional: PBE-GGA
Structure: relaxed

Values from the calculation:
ρ, g/cm3: 2.4
Crystal system: hexagonal
Magnetization, μB per atom: 0.0000
ΔE to the lowest computed polymorph, kcal/mol of atoms: 1.88

Geometry as CIF:
```
data_Cs2K3Au
_cell_length_a 6.3484
_cell_length_b 6.3484
_cell_length_c 11.4187
_cell_angle_alpha 90.00
_cell_angle_beta 90.00
_cell_angle_gamma 120.00
_symmetry_space_group_name_H-M 'P -6 m 2'
_symmetry_Int_Tables_number 187
_symmetry_space_group_name_Hall 'P -6 2'
loop_
_atom_site_label
_atom_site_fract_x
_atom_site_fract_y
_atom_site_fract_z
_atom_site_occupancy
Cs1 0.0000 0.0000 0.2028 1
K1 0.3333 0.6667 0.5000 1
K2 0.6667 0.3333 0.0000 1
K3 0.6667 0.3333 0.5000 1
Au1 0.3333 0.6667 0.0000 1
```

Compound: TaCu2Cl
Source: Alexandria via LeMat-Bulk
Functional: PBE-GGA
Structure: relaxed

Values from the calculation:
ρ, g/cm3: 9.2
Raw formation energy, eV per atom: 0.30
Crystal system: orthorhombic
Magnetization, μB per atom: 0.0000
ΔE to the lowest computed polymorph, kcal/mol of atoms: 6.41

Geometry as CIF:
```
data_TaCu2Cl
_cell_length_a 4.8685
_cell_length_b 8.9342
_cell_length_c 2.8496
_cell_angle_alpha 90.00
_cell_angle_beta 90.00
_cell_angle_gamma 90.00
_symmetry_space_group_name_H-M 'C m m m'
_symmetry_Int_Tables_number 65
_symmetry_space_group_name_Hall '-C 2 2'
loop_
_atom_site_label
_atom_site_fract_x
_atom_site_fract_y
_atom_site_fract_z
_atom_site_occupancy
Ta1 0.0000 0.0000 0.0000 1
Cu1 0.2500 0.2500 0.5000 1
Cl1 0.0000 0.5000 0.0000 1
```